Material: La4PrMg
Method: DFT, GGA-PBE
State: optimized geometry

## Properties
size of the total moment = 0.0 μB/cell
energy relative to the lowest polymorph listed for this composition = 0.0 meV/atom
volume = 208.7 Å³/f.u.
space group = P4/mmm, No. 123

```
La4PrMg
1.0
3.7820 0.0000 0.0000
0.0000 3.7820 0.0000
0.0000 0.0000 14.5907
La Pr Mg
4 1 1
Cartesian
0.0000 0.0000 2.1825
0.0000 0.0000 12.4082
1.8910 1.8910 4.6987
1.8910 1.8910 9.8920
0.0000 0.0000 7.2954
1.8910 1.8910 0.0000
```